ZnAsAuO PBE optimized geometry; crystal system = orthorhombic; symmetry = Pmc2_1; total energy = -30.69 eV/cell
1.0
3.2777 0.0000 0.0000
0.0000 6.5307 0.0000
0.0000 0.0000 6.1963
Zn As Au O
2 2 2 2
Direct
0.0000 0.1471 0.0000 Zn
0.0000 0.8529 0.5000 Zn
0.0000 0.4546 0.2322 As
0.0000 0.5454 0.7322 As
0.5000 0.2838 0.5663 Au
0.5000 0.7162 0.0663 Au
0.5000 0.0174 0.9089 O
0.5000 0.9826 0.4089 O

=====

ZnAsAuO PBE optimized geometry; crystal system = tetragonal; symmetry = P4/nmm; total energy = -30.96 eV/cell
1.0
4.0760 0.0000 0.0000
0.0000 4.0760 0.0000
0.0000 0.0000 9.0583
Zn As Au O
2 2 2 2
Direct
0.2500 0.2500 0.0320 Zn
0.7500 0.7500 0.9680 Zn
0.2500 0.2500 0.3200 As
0.7500 0.7500 0.6800 As
0.2500 0.7500 0.5000 Au
0.7500 0.2500 0.5000 Au
0.2500 0.7500 0.0000 O
0.7500 0.2500 0.0000 O

=====

ZnAsAuO PBE optimized geometry; crystal system = orthorhombic; symmetry = Pmc2_1; total energy = -30.27 eV/cell
1.0
3.3620 0.0000 0.0000
0.0000 7.5184 0.0000
0.0000 0.0000 5.5379
Zn As Au O
2 2 2 2
Direct
0.0000 0.1254 0.0000 Zn
0.0000 0.8746 0.5000 Zn
0.5000 0.3579 0.8541 As
0.5000 0.6421 0.3541 As
0.5000 0.3211 0.3864 Au
0.5000 0.6789 0.8864 Au
0.0000 0.0992 0.3464 O
0.0000 0.9008 0.8464 O

=====

ZnAsAuO PBE optimized geometry; crystal system = tetragonal; symmetry = P4/nmm; total energy = -26.74 eV/cell
1.0
4.2554 0.0000 0.0000
0.0000 4.2554 0.0000
0.0000 0.0000 9.0090
Zn As Au O
2 2 2 2
Direct
0.2500 0.7500 0.0000 Zn
0.7500 0.2500 0.0000 Zn
0.2500 0.2500 0.1517 As
0.7500 0.7500 0.8483 As
0.2500 0.2500 0.4300 Au
0.7500 0.7500 0.5700 Au
0.2500 0.7500 0.5000 O
0.7500 0.2500 0.5000 O

=====

AsOsAu2 PBE optimized geometry; crystal system = cubic; symmetry = F-43m; total energy = -79.58 eV/cell; size of the total moment = 0.1 μB per cell
1.0
6.4386 0.0000 0.0000
0.0000 6.4386 0.0000
0.0000 0.0000 6.4386
As Os Au
4 4 8
Direct
0.0000 0.0000 0.0000 As
0.0000 0.5000 0.5000 As
0.5000 0.0000 0.5000 As
0.5000 0.5000 0.0000 As
0.2500 0.2500 0.2500 Os
0.2500 0.7500 0.7500 Os
0.7500 0.2500 0.7500 Os
0.7500 0.7500 0.2500 Os
0.0000 0.0000 0.5000 Au
0.0000 0.5000 0.0000 Au
0.2500 0.2500 0.7500 Au
0.2500 0.7500 0.2500 Au
0.5000 0.0000 0.0000 Au
0.5000 0.5000 0.5000 Au
0.7500 0.2500 0.2500 Au
0.7500 0.7500 0.7500 Au

=====

As2OsAu PBE optimized geometry; crystal system = cubic; symmetry = F-43m; total energy = -81.83 eV/cell; size of the total moment = 2.5 μB per cell
1.0
6.4834 0.0000 0.0000
0.0000 6.4834 0.0000
0.0000 0.0000 6.4834
As Os Au
8 4 4
Direct
0.0000 0.0000 0.0000 As
0.0000 0.5000 0.5000 As
0.2500 0.2500 0.2500 As
0.2500 0.7500 0.7500 As
0.5000 0.0000 0.5000 As
0.5000 0.5000 0.0000 As
0.7500 0.2500 0.7500 As
0.7500 0.7500 0.2500 As
0.0000 0.0000 0.5000 Os
0.0000 0.5000 0.0000 Os
0.5000 0.0000 0.0000 Os
0.5000 0.5000 0.5000 Os
0.2500 0.2500 0.7500 Au
0.2500 0.7500 0.2500 Au
0.7500 0.2500 0.2500 Au
0.7500 0.7500 0.7500 Au

=====

AsOsPbAu PBE optimized geometry; crystal system = cubic; symmetry = F-43m; total energy = -78.90 eV/cell; size of the total moment = 0.1 μB per cell
1.0
6.7369 0.0000 0.0000
0.0000 6.7369 0.0000
0.0000 0.0000 6.7369
As Os Pb Au
4 4 4 4
Direct
0.0000 0.0000 0.0000 As
0.0000 0.5000 0.5000 As
0.5000 0.0000 0.5000 As
0.5000 0.5000 0.0000 As
0.2500 0.2500 0.7500 Os
0.2500 0.7500 0.2500 Os
0.7500 0.2500 0.2500 Os
0.7500 0.7500 0.7500 Os
0.0000 0.0000 0.5000 Pb
0.0000 0.5000 0.0000 Pb
0.5000 0.0000 0.0000 Pb
0.5000 0.5000 0.5000 Pb
0.2500 0.2500 0.2500 Au
0.2500 0.7500 0.7500 Au
0.7500 0.2500 0.7500 Au
0.7500 0.7500 0.2500 Au

=====

SnAsOsAu PBE optimized geometry; crystal system = cubic; symmetry = F-43m; total energy = -83.39 eV/cell; size of the total moment = 0.0 μB per cell
1.0
6.6197 0.0000 0.0000
0.0000 6.6197 0.0000
0.0000 0.0000 6.6197
Sn As Os Au
4 4 4 4
Direct
0.0000 0.0000 0.0000 Sn
0.0000 0.5000 0.5000 Sn
0.5000 0.0000 0.5000 Sn
0.5000 0.5000 0.0000 Sn
0.0000 0.0000 0.5000 As
0.0000 0.5000 0.0000 As
0.5000 0.0000 0.0000 As
0.5000 0.5000 0.5000 As
0.2500 0.2500 0.2500 Os
0.2500 0.7500 0.7500 Os
0.7500 0.2500 0.7500 Os
0.7500 0.7500 0.2500 Os
0.2500 0.2500 0.7500 Au
0.2500 0.7500 0.2500 Au
0.7500 0.2500 0.2500 Au
0.7500 0.7500 0.7500 Au

=====

ZrAsOsAu PBE optimized geometry; crystal system = cubic; symmetry = F-43m; total energy = -111.80 eV/cell; size of the total moment = 0.0 μB per cell
1.0
6.4972 0.0000 0.0000
0.0000 6.4972 0.0000
0.0000 0.0000 6.4972
Zr As Os Au
4 4 4 4
Direct
0.0000 0.0000 0.0000 Zr
0.0000 0.5000 0.5000 Zr
0.5000 0.0000 0.5000 Zr
0.5000 0.5000 0.0000 Zr
0.2500 0.2500 0.7500 As
0.2500 0.7500 0.2500 As
0.7500 0.2500 0.2500 As
0.7500 0.7500 0.7500 As
0.0000 0.0000 0.5000 Os
0.0000 0.5000 0.0000 Os
0.5000 0.0000 0.0000 Os
0.5000 0.5000 0.5000 Os
0.2500 0.2500 0.2500 Au
0.2500 0.7500 0.7500 Au
0.7500 0.2500 0.7500 Au
0.7500 0.7500 0.2500 Au

=====

ZrAsOsAu PBE optimized geometry; crystal system = cubic; symmetry = F-43m; total energy = -107.64 eV/cell; size of the total moment = 0.0 μB per cell
1.0
6.5892 0.0000 0.0000
0.0000 6.5892 0.0000
0.0000 0.0000 6.5892
Zr As Os Au
4 4 4 4
Direct
0.0000 0.0000 0.0000 Zr
0.0000 0.5000 0.5000 Zr
0.5000 0.0000 0.5000 Zr
0.5000 0.5000 0.0000 Zr
0.2500 0.2500 0.2500 As
0.2500 0.7500 0.7500 As
0.7500 0.2500 0.7500 As
0.7500 0.7500 0.2500 As
0.2500 0.2500 0.7500 Os
0.2500 0.7500 0.2500 Os
0.7500 0.2500 0.2500 Os
0.7500 0.7500 0.7500 Os
0.0000 0.0000 0.5000 Au
0.0000 0.5000 0.0000 Au
0.5000 0.0000 0.0000 Au
0.5000 0.5000 0.5000 Au

=====

ZrAsOsAu PBE optimized geometry; crystal system = cubic; symmetry = F-43m; total energy = -109.54 eV/cell; size of the total moment = 0.0 μB per cell
1.0
6.5874 0.0000 0.0000
0.0000 6.5874 0.0000
0.0000 0.0000 6.5874
Zr As Os Au
4 4 4 4
Direct
0.0000 0.0000 0.0000 Zr
0.0000 0.5000 0.5000 Zr
0.5000 0.0000 0.5000 Zr
0.5000 0.5000 0.0000 Zr
0.0000 0.0000 0.5000 As
0.0000 0.5000 0.0000 As
0.5000 0.0000 0.0000 As
0.5000 0.5000 0.5000 As
0.2500 0.2500 0.7500 Os
0.2500 0.7500 0.2500 Os
0.7500 0.2500 0.2500 Os
0.7500 0.7500 0.7500 Os
0.2500 0.2500 0.2500 Au
0.2500 0.7500 0.7500 Au
0.7500 0.2500 0.7500 Au
0.7500 0.7500 0.2500 Au

=====

Rb4AsPAu2 PBE optimized geometry; crystal system = orthorhombic; symmetry = Amm2; total energy = -48.44 eV/cell
1.0
6.6968 0.0000 0.0000
0.0000 10.4491 0.0000
0.0000 0.0000 7.6544
Rb As P Au
8 2 2 4
Direct
0.0000 0.1721 0.0000 Rb
0.0000 0.3279 0.5000 Rb
0.0000 0.6721 0.5000 Rb
0.0000 0.8279 0.0000 Rb
0.5000 0.1726 0.7068 Rb
0.5000 0.3274 0.2068 Rb
0.5000 0.6726 0.2068 Rb
0.5000 0.8274 0.7068 Rb
0.0000 0.0000 0.5943 As
0.0000 0.5000 0.0943 As
0.5000 0.0000 0.1191 P
0.5000 0.5000 0.6191 P
0.2547 0.0000 0.3487 Au
0.2547 0.5000 0.8487 Au
0.7453 0.0000 0.3487 Au
0.7453 0.5000 0.8487 Au